A plane-wave DFT calculation with PBE was carried out for an optimized crystal structure of CsKSi12.

Summary:
M_tot = 0.0 μB per cell
Theoretical density = 2.000 g cm⁻³
ΔE_f (raw) = 0.550 eV/atom
Total DFT energy (no corrections) = -0.31147 Ry/atom

POSCAR file:
```
CsKSi12
1.0
5.879 0.000 0.000
0.000 5.879 0.000
0.000 0.000 12.224
Cs K Si
1 1 12
Cartesian
0.000 0.000 0.000
0.000 0.000 6.112
1.226 2.940 3.061
1.226 2.940 9.163
2.940 1.226 3.061
2.940 1.226 9.163
2.940 2.940 1.188
2.940 2.940 4.922
2.940 2.940 7.301
2.940 2.940 11.036
2.940 4.654 3.061
2.940 4.654 9.163
4.654 2.940 3.061
4.654 2.940 9.163
```